K3Ni2SbO6 | PBE with a Hubbard U | relaxed

Cell: 5.5070 9.5467 6.3230 Å, 90.00 106.74 90.00°
Space group C2/m (No. 12)
Inequivalent atoms, fractional coordinates:
K (0.0000, 0.0000, 0.0000) [2 per cell]
K (0.0000, 0.3253, 0.0000) [4 per cell]
Ni (0.0000, 0.1664, 0.5000) [4 per cell]
Sb (0.0000, 0.5000, 0.5000) [2 per cell]
O (0.2177, 0.3418, 0.6768) [8 per cell]
O (0.2439, 0.0000, 0.6799) [4 per cell]

energy: -4.9212 eV/atom
magnetic moment: 4.00 μB per formula unit
crystal system: monoclinic